Entry 1:
Compound: LiCaPb
Source: Alexandria
Functional: GGA-PBE
Structure: optimized geometry

Unit cell a=4.8850 b=4.8850 c=4.8850 alpha=60.00 beta=60.00 gamma=60.00
Fractional positions:
Li: 0.0000 0.0000 0.0000
Ca: 0.2500 0.2500 0.2500
Pb: 0.7500 0.7500 0.7500

Summary:
The density is 5.12 g/cm3. The value obtained for the total energy is -2.793 eV/atom. For the energy of formation, the calculation gives -0.252 eV per atom. For the total moment, the calculation gives 0.0 μB/f.u. Its density of states at the Fermi level is 3.32 states/eV/cell.



Entry 2:
Compound: VFeTcAs
Source: Alexandria
Functional: GGA-PBE
Structure: optimized geometry

Unit cell a=4.1846 b=4.1846 c=4.1846 alpha=60.00 beta=60.00 gamma=60.00
Fractional positions:
V: 0.0000 0.0000 0.0000
Fe: 0.2500 0.2500 0.2500
Tc: 0.7500 0.7500 0.7500
As: 0.5000 0.5000 0.5000

Summary:
The density is 8.96 g/cm3. The value obtained for the total energy is -8.242 eV/atom. For the energy of formation, the calculation gives -0.093 eV per atom. For the total moment, the calculation gives 1.0 μB/f.u. Its density of states at the Fermi level is 3.61 states/eV/cell.



Entry 3:
Compound: TcNi2Te
Source: Alexandria
Functional: GGA-PBE
Structure: optimized geometry

Unit cell a=4.7304 b=4.7304 c=4.7304 alpha=131.75 beta=131.75 gamma=70.62
Fractional positions:
Tc: 0.0000 0.0000 0.0000
Ni: 0.2500 0.7500 0.5000
Ni: 0.7500 0.2500 0.5000
Te: 0.5000 0.5000 0.0000

Summary:
The density is 9.87 g/cm3. The value obtained for the total energy is -5.903 eV/atom. For the total moment, the calculation gives 0.7 μB/f.u. As for the formation energy from raw total energies: 1.46 eV per formula unit. Its density of states at the Fermi level is 5.85 states/eV/cell.



Entry 4:
Compound: Tb5Si5Pt2
Source: Alexandria
Functional: GGA-PBE
Structure: optimized geometry

Unit cell a=7.6865 b=7.6865 c=10.9173 alpha=129.10 beta=129.10 gamma=31.93
Fractional positions:
Tb: 0.0000 0.0000 0.0000
Tb: 0.1117 0.1117 0.4212
Tb: 0.1957 0.1957 0.8261
Tb: 0.8043 0.8043 0.1739
Tb: 0.8883 0.8883 0.5788
Si: 0.2581 0.2581 0.3141
Si: 0.4432 0.4432 0.1671
Si: 0.5000 0.5000 0.5000
Si: 0.5568 0.5568 0.8329
Si: 0.7419 0.7419 0.6859
Pt: 0.3544 0.3544 0.7453
Pt: 0.6456 0.6456 0.2547

Summary:
The density is 8.55 g/cm3. The value obtained for the total energy is -6.063 eV/atom. For the total moment, the calculation gives 0.0 μB/f.u. As for the formation energy from raw total energies: -10.41 eV per formula unit. Its density of states at the Fermi level is 5.12 states/eV/cell.



Entry 5:
Compound: Ta2CdAg
Source: Alexandria
Functional: GGA-PBE
Structure: optimized geometry

Unit cell a=3.2319 b=4.5386 c=5.0662 alpha=90.00 beta=90.00 gamma=90.00
Fractional positions:
Ta: 0.0000 0.0000 0.0000
Ta: 0.5000 0.5000 0.0000
Cd: 0.0000 0.5000 0.5000
Ag: 0.5000 0.0000 0.5000

Summary:
The density is 13.01 g/cm3. The value obtained for the total energy is -6.520 eV/atom. For the energy of formation, the calculation gives 0.348 eV per atom. For the total moment, the calculation gives 0.0 μB/f.u. Its density of states at the Fermi level is 3.39 states/eV/cell.



Entry 6:
Compound: TePtRh
Source: Alexandria
Functional: GGA-PBE
Structure: optimized geometry

Unit cell a=4.0142 b=4.0142 c=4.0706 alpha=90.00 beta=90.00 gamma=120.00
Fractional positions:
Te: 0.0000 0.0000 0.0000
Pt: 0.3333 0.6667 0.3373
Rh: 0.6667 0.3333 0.7047

Summary:
The density is 12.44 g/cm3. The value obtained for the total energy is -5.545 eV/atom. The relative energy among the computed polymorphs is 0.004 eV per atom. For the total moment, the calculation gives 0.0 μB/f.u. As for the formation energy from raw total energies: -0.10 eV per formula unit. Its density of states at the Fermi level is 1.37 states/eV/cell.



Entry 7:
Compound: LaEr2Sn
Source: Alexandria
Functional: GGA-PBE
Structure: optimized geometry

Unit cell a=12.0268 b=12.0268 c=12.0268 alpha=16.53 beta=16.53 gamma=16.53
Fractional positions:
La: 0.0000 0.0000 0.0000
Er: 0.0957 0.0957 0.0957
Er: 0.9043 0.9043 0.9043
Sn: 0.5000 0.5000 0.5000

Summary:
The density is 8.01 g/cm3. The value obtained for the total energy is -4.558 eV/atom. The relative energy among the computed polymorphs is 0.399 eV per atom. For the energy of formation, the calculation gives -0.044 eV per atom. For the total moment, the calculation gives 0.0 μB/f.u. Its density of states at the Fermi level is 5.91 states/eV/cell.



Entry 8:
Compound: La2ScP
Source: Alexandria
Functional: GGA-PBE
Structure: optimized geometry

Unit cell a=4.6684 b=4.6684 c=4.5195 alpha=90.00 beta=90.00 gamma=90.00
Fractional positions:
La: 0.0000 0.5000 0.0000
La: 0.5000 0.0000 0.0000
Sc: 0.0000 0.0000 0.5000
P: 0.5000 0.5000 0.5000

Summary:
The density is 5.96 g/cm3. The value obtained for the total energy is -5.839 eV/atom. For the energy of formation, the calculation gives -0.440 eV per atom. For the total moment, the calculation gives 0.0 μB/f.u. Its density of states at the Fermi level is 5.30 states/eV/cell.